CePrHo5Er2 | the Alexandria database | PBE-GGA | optimized geometry; mass density = 8.232 Mg/m³; total DFT energy (no corrections) = -0.16790 Ha/atom; space group = No. 36
1.0
5.671 0.000 0.000
-2.836 10.714 0.000
0.000 0.000 9.562
Ho Er Pr Ce
10 4 2 2
Cartesian
0.000 5.691 3.207
0.000 10.097 7.125
2.836 10.459 4.942
0.000 0.255 0.161
2.836 4.128 2.088
0.000 8.444 0.372
0.000 6.587 6.869
2.836 5.023 7.988
2.836 2.270 5.154
2.836 0.617 2.344
2.836 8.295 7.857
0.000 2.419 3.076
0.000 2.992 6.710
2.836 7.722 1.929
2.836 2.076 8.815
0.000 8.638 4.034
2.836 6.491 5.012
0.000 4.223 0.231

CePr2Ho2Er2 | the Alexandria database | PBE-GGA | optimized geometry; mass density = 7.394 Mg/m³; total DFT energy (no corrections) = -0.16895 Ha/atom; space group = No. 12
1.0
-1.050 -1.243 3.128
6.898 -4.695 -1.537
-1.509 10.890 3.819
Ho Er Ce Pr
2 2 1 2
Cartesian
-0.041 7.087 4.788
4.380 -2.135 0.622
3.750 2.310 2.176
0.589 2.643 3.235
-0.755 5.445 1.909
2.758 5.521 3.118
1.581 -0.568 2.292

- What is the total DFT energy (no corrections) in the first record?
  -0.16790 Ha/atom